Entry 1:
A geometry-optimized YMgSi structure, computed with PBE.

Its total energy is -30.00 eV per cell. The calculation puts the uncorrected formation energy at -0.507 eV/atom.

The space group is P4/nmm (No. 129, origin choice 2) and the conventional cell measures 4.1688, 4.1688 and 7.5093 Å, with angles of 90.00, 90.00 and 90.00 degrees. The asymmetric unit holds Y at (0.2500, 0.2500, 0.1463), Mg at (0.2500, 0.7500, 0.5000) and Si at (0.2500, 0.2500, 0.7505).

=====

Entry 2:
A geometry-optimized DyTlRu2O8 structure, computed with PBE.

Its total energy is -162.21 eV per cell. The calculation puts the uncorrected formation energy at -1.327 eV/atom.

The space group is C2/m (No. 12) and the conventional cell measures 9.5726, 6.0984 and 8.2556 Å, with angles of 90.00, 91.78 and 90.00 degrees. The asymmetric unit holds Dy at (0.0000, 0.0000, 0.0000), Tl at (0.0000, 0.0000, 0.5000), Ru at (0.1358, 0.5000, 0.7722), O at (0.0328, 0.2547, 0.8033), O at (0.2006, 0.5000, 0.5761) and O at (0.2260, 0.0000, 0.0755).

=====

Entry 3:
A geometry-optimized Tl2ReBi structure, computed with PBE.

Its formation energy is 4.67 eV per formula unit. Its total energy is -65.58 eV per cell. The calculation puts the energy above the most stable polymorph in this dataset at 0.095 eV per atom.

The space group is Fm-3m (No. 225) and the conventional cell measures 7.2655, 7.2655 and 7.2655 Å, with angles of 90.00, 90.00 and 90.00 degrees. The asymmetric unit holds Tl at (0.2500, 0.2500, 0.2500), Re at (0.0000, 0.0000, 0.0000) and Bi at (0.0000, 0.0000, 0.5000).

=====

Entry 4:
A geometry-optimized CaPPb2 structure, computed with PBE.

Its formation energy is -0.98 eV per formula unit. Its total energy is -31.62 eV per cell.

The space group is Imm2 (No. 44) and the conventional cell measures 3.8742, 5.4504 and 10.3612 Å, with angles of 90.00, 90.00 and 90.00 degrees. The asymmetric unit holds Ca at (0.0000, 0.0000, 0.0000), P at (0.0000, 0.5000, 0.7046), Pb at (0.0000, 0.0000, 0.4051) and Pb at (0.0000, 0.5000, 0.2147).

=====

Entry 5:
A geometry-optimized PmSmGdMg structure, computed with PBE.

Its formation energy is 0.22 eV per formula unit. Its total energy is -99.72 eV per cell.

The space group is F-43m (No. 216) and the conventional cell measures 7.9108, 7.9108 and 7.9108 Å, with angles of 90.00, 90.00 and 90.00 degrees. The asymmetric unit holds Pm at (0.0000, 0.0000, 0.0000), Sm at (0.2500, 0.2500, 0.7500), Gd at (0.2500, 0.2500, 0.2500) and Mg at (0.0000, 0.0000, 0.5000).

=====

Entry 6:
A geometry-optimized NaReNi structure, computed with PBE.

Its formation energy is 3.67 eV per formula unit. Its total energy is -15.88 eV per cell. The calculation puts the energy above the most stable polymorph in this dataset at 0.977 eV per atom.

The space group is P-6m2 (No. 187) and the conventional cell measures 3.9239, 3.9239 and 4.7373 Å, with angles of 90.00, 90.00 and 120.00 degrees. The asymmetric unit holds Na at (0.0000, 0.0000, 0.0000), Re at (0.3333, 0.6667, 0.5000) and Ni at (0.6667, 0.3333, 0.5000).

=====

Entry 7:
A geometry-optimized Nd3Y structure, computed with PBE.

Its formation energy is 0.09 eV per formula unit. Its total energy is -41.35 eV per cell. The calculation puts the energy above the most stable polymorph in this dataset at 0.026 eV per atom.

The space group is P6_3/mmc (No. 194) and the conventional cell measures 7.4086, 7.4086 and 5.8834 Å, with angles of 90.00, 90.00 and 120.00 degrees. The asymmetric unit holds Nd at (0.1671, 0.3343, 0.2500) and Y at (0.3333, 0.6667, 0.7500).

=====

Entry 8:
A geometry-optimized Sm2Al3Pt12Rh structure, computed with PBE.

Its formation energy is -6.87 eV per formula unit. Its total energy is -322.14 eV per cell.

The space group is R-3m (No. 166, hexagonal axes) and the conventional cell measures 8.1326, 8.1326 and 18.9142 Å, with angles of 90.00, 90.00 and 120.00 degrees. The asymmetric unit holds Sm at (0.0000, 0.0000, 0.1165), Al at (0.0000, 0.5000, 0.0000), Pt at (0.0097, 0.5048, 0.3752), Pt at (0.0138, 0.5069, 0.8718) and Rh at (0.0000, 0.0000, 0.5000).

=====

Entry 9:
A geometry-optimized HfAuC3 structure, computed with PBE.

Its formation energy is 11.38 eV per formula unit. Its total energy is -29.53 eV per cell. The calculation puts the energy above the most stable polymorph in this dataset at 0.000 eV per atom.

The space group is Pm-3m (No. 221) and the conventional cell measures 4.3121, 4.3121 and 4.3121 Å, with angles of 90.00, 90.00 and 90.00 degrees. The asymmetric unit holds Hf at (0.0000, 0.0000, 0.0000), Au at (0.5000, 0.5000, 0.5000) and C at (0.0000, 0.0000, 0.5000).

=====

Entry 10:
A geometry-optimized V4Mo2Os structure, computed with PBE.

Its formation energy is 8.06 eV per formula unit. Its total energy is -122.61 eV per cell. The calculation puts the energy above the most stable polymorph in this dataset at 1.015 eV per atom.

The space group is I4/mmm (No. 139) and the conventional cell measures 4.5407, 4.5407 and 12.3113 Å, with angles of 90.00, 90.00 and 90.00 degrees. The asymmetric unit holds V at (0.0000, 0.0000, 0.1960), V at (0.0000, 0.5000, 0.0000), Mo at (0.0000, 0.0000, 0.3801) and Os at (0.0000, 0.0000, 0.0000).

=====

Entry 11:
A geometry-optimized PrPu2Si2Pd2 structure, computed with PBE.

Its total energy is -177.30 eV per cell. The calculation puts the uncorrected formation energy at -0.632 eV/atom.

The space group is R-3m (No. 166, hexagonal axes) and the conventional cell measures 4.3871, 4.3871 and 26.1491 Å, with angles of 90.00, 90.00 and 120.00 degrees. The asymmetric unit holds Pr at (0.0000, 0.0000, 0.0000), Pu at (0.0000, 0.0000, 0.1400), Si at (0.0000, 0.0000, 0.2564) and Pd at (0.0000, 0.0000, 0.4138).

=====

Entry 12:
A geometry-optimized AgOsBr structure, computed with PBE.

Its total energy is -51.06 eV per cell. The calculation puts the uncorrected formation energy at 0.997 eV/atom. The calculation puts the energy above the most stable polymorph in this dataset at 0.063 eV per atom.

The space group is Fmm2 (No. 42) and the conventional cell measures 2.9019, 5.3813 and 14.4249 Å, with angles of 90.00, 90.00 and 90.00 degrees. The asymmetric unit holds Ag at (0.0000, 0.0000, 0.0000), Os at (0.0000, 0.0000, 0.3367) and Br at (0.0000, 0.0000, 0.6942).